[1]
Tl2Tc after structural relaxation, computed with PBE-GGA.

Calculated values
The value obtained for the offset from the most stable computed form is 2.68 eV per formula unit. The space group is P6_3/mmc (194). The calculation puts the total moment at 1.3 μB per formula unit. The formation energy is 1337 meV/atom.

Cell: 5.6749 5.6749 10.7818 Å, 90.00 90.00 120.00°
Sites, in units of the cell vectors:
Tl  0.0000  0.0000  0.0000
Tl  0.0000  0.0000  0.5000
Tl  0.1688  0.3376  0.2500
Tl  0.1688  0.8312  0.2500
Tl  0.3376  0.1688  0.7500
Tl  0.6624  0.8312  0.2500
Tl  0.8312  0.1688  0.7500
Tl  0.8312  0.6624  0.7500
Tc  0.3333  0.6667  0.0137
Tc  0.3333  0.6667  0.4863
Tc  0.6667  0.3333  0.5137
Tc  0.6667  0.3333  0.9863

***

[2]
TlTc2 after structural relaxation, computed with PBE-GGA.

Calculated values
The value obtained for the offset from the most stable computed form is 1.06 eV per formula unit. The space group is Fd-3m (227). The calculation puts the total moment at 0.0 μB per formula unit. The formation energy is 717 meV/atom.

Cell: 5.3231 5.3231 5.3231 Å, 60.00 60.00 60.00°
Sites, in units of the cell vectors:
Tl  0.1250  0.1250  0.1250
Tl  0.8750  0.8750  0.8750
Tc  0.0000  0.5000  0.5000
Tc  0.5000  0.0000  0.5000
Tc  0.5000  0.5000  0.0000
Tc  0.5000  0.5000  0.5000

***

[3]
TlTc2 after structural relaxation, computed with PBE-GGA.

Calculated values
The value obtained for the offset from the most stable computed form is 1.67 eV per formula unit. The space group is I4/mcm (140). The calculation puts the total moment at 0.0 μB per formula unit. The formation energy is 921 meV/atom.

Cell: 5.2853 5.2853 5.2853 Å, 106.08 106.08 116.48°
Sites, in units of the cell vectors:
Tl  0.2500  0.2500  0.0000
Tl  0.7500  0.7500  0.0000
Tc  0.1215  0.6215  0.7430
Tc  0.3785  0.1215  0.5000
Tc  0.6215  0.8785  0.5000
Tc  0.8785  0.3785  0.2570

***

[4]
Tl2Tc after structural relaxation, computed with PBE-GGA.

Calculated values
The value obtained for the offset from the most stable computed form is 0.03 eV per formula unit. The space group is Cm (8). The calculation puts the total moment at 0.0 μB per formula unit. The formation energy is 451 meV/atom.

Cell: 5.3268 5.3268 9.5126 Å, 104.49 104.49 34.95°
Sites, in units of the cell vectors:
Tl  0.0000  0.0000  0.0000
Tl  0.3725  0.3725  0.5717
Tl  0.5774  0.5774  0.3434
Tl  0.6823  0.6823  0.7701
Tc  0.2836  0.2836  0.0730
Tc  0.8240  0.8240  0.2643

***

[5]
Tl4Tc3 after structural relaxation, computed with PBE-GGA.

Calculated values
The value obtained for the offset from the most stable computed form is 0.00 eV per formula unit. The space group is I4/mmm (139). The calculation puts the total moment at 1.8 μB per formula unit. The formation energy is 534 meV/atom.

Cell: 15.9762 15.9762 15.9762 Å, 168.91 168.91 15.71°
Sites, in units of the cell vectors:
Tl  0.0646  0.0646  0.0000
Tl  0.3419  0.3419  0.0000
Tl  0.6581  0.6581  0.0000
Tl  0.9354  0.9354  0.0000
Tc  0.2289  0.2289  0.0000
Tc  0.5000  0.5000  0.0000
Tc  0.7711  0.7711  0.0000

***

[6]
TlTc after structural relaxation, computed with PBE-GGA.

Calculated values
The value obtained for the offset from the most stable computed form is 3.29 eV per formula unit. The space group is F-43m (216). The calculation puts the total moment at 2.5 μB per formula unit. The formation energy is 1954 meV/atom.

Cell: 4.4307 4.4307 4.4307 Å, 60.00 60.00 60.00°
Sites, in units of the cell vectors:
Tl  0.0000  0.0000  0.0000
Tc  0.2500  0.2500  0.2500

***

[7]
Tl2Tc after structural relaxation, computed with PBE-GGA.

Calculated values
The value obtained for the offset from the most stable computed form is 0.29 eV per formula unit. The space group is C2/m (12). The calculation puts the total moment at 0.0 μB per formula unit. The formation energy is 540 meV/atom.

Cell: 7.7974 7.7974 6.4502 Å, 103.00 103.00 22.65°
Sites, in units of the cell vectors:
Tl  0.1042  0.1042  0.1378
Tl  0.1930  0.1930  0.6936
Tl  0.8070  0.8070  0.3064
Tl  0.8958  0.8958  0.8622
Tc  0.4745  0.4745  0.3292
Tc  0.5255  0.5255  0.6708

***

[8]
TlTc4 after structural relaxation, computed with PBE-GGA.

Calculated values
The value obtained for the offset from the most stable computed form is 0.00 eV per formula unit. The space group is I4/mmm (139). The calculation puts the total moment at 0.0 μB per formula unit. The formation energy is 471 meV/atom.

Cell: 6.1775 6.1775 6.1775 Å, 141.53 141.53 55.54°
Sites, in units of the cell vectors:
Tl  0.0000  0.0000  0.0000
Tc  0.2500  0.7500  0.5000
Tc  0.3860  0.3860  0.0000
Tc  0.6140  0.6140  0.0000
Tc  0.7500  0.2500  0.5000

***

Look up the total moment of the second one.
0.0 μB per formula unit

***

Copy entry 7 word for word.
Tl2Tc after structural relaxation, computed with PBE-GGA.

Calculated values
The value obtained for the offset from the most stable computed form is 0.29 eV per formula unit. The space group is C2/m (12). The calculation puts the total moment at 0.0 μB per formula unit. The formation energy is 540 meV/atom.

Cell: 7.7974 7.7974 6.4502 Å, 103.00 103.00 22.65°
Sites, in units of the cell vectors:
Tl  0.1042  0.1042  0.1378
Tl  0.1930  0.1930  0.6936
Tl  0.8070  0.8070  0.3064
Tl  0.8958  0.8958  0.8622
Tc  0.4745  0.4745  0.3292
Tc  0.5255  0.5255  0.6708

***

total moment of number 6 (TlTc)?
2.5 μB per formula unit

***

Which of these has the highest total moment?
TlTc